First-principles (PBEsol) data for a relaxed structure of LiP2WO8, as listed in the Alexandria database.

It has space group C2/m (No. 12), with a = 8.3496 Å, b = 5.2711 Å, c = 7.8174 Å, α = 90.00°, β = 101.04° and γ = 90.00°. The asymmetric unit holds Li at (0.0000, 0.0000, 0.0000), P at (0.1859, 0.5000, 0.7086), W at (0.0000, 0.0000, 0.5000), O at (0.0714, 0.2629, 0.6762), O at (0.2100, 0.0000, 0.1151) and O at (0.2150, 0.0000, 0.4428).

Its total magnetic moment is 2.0 Bohr magnetons per cell. The calculation puts the density of states at the Fermi level at 3.5 states/eV/f.u. Its formation energy from raw total energies is -2.13 eV/atom. As for the relative energy among the computed polymorphs: 0 meV per atom.